No. 1
Here is PmDy2Tm4 after structural relaxation from Alexandria via LeMat-Bulk. Energies are from GGA-PBE.

```
7
Lattice="8.2511 -1.7502 0.0000 8.2511 1.7502 0.0000 -4.2786 0.0000 7.5419" Properties=species:S:1:pos:R:3 pbc="T T T"
Pm 0.0000 0.0000 0.0000
Dy -0.6835 0.0000 3.2400
Dy 12.9070 0.0000 4.3019
Tm 1.8358 0.0000 5.3240
Tm 5.1769 0.0000 1.2402
Tm 7.0467 0.0000 6.3016
Tm 10.3877 0.0000 2.2178
```

Results
E_form: 25.3 kJ/mol of formula units
Crystal system: monoclinic
Calculated density: 8.7 Mg/m³

=====

No. 2
Here is K3SrN after structural relaxation from Alexandria via LeMat-Bulk. Energies are from GGA-PBE.

```
5
Lattice="5.9470 0.0000 0.0000 0.0000 5.9470 0.0000 0.0000 0.0000 5.9470" Properties=species:S:1:pos:R:3 pbc="T T T"
K 0.0000 0.0000 2.9735
K 0.0000 2.9735 0.0000
K 2.9735 0.0000 0.0000
Sr 2.9735 2.9735 2.9735
N 0.0000 0.0000 0.0000
```

Results
Crystal system: cubic
Uncorrected formation energy: 0.593 eV per atom
Calculated density: 1.7 Mg/m³

=====

No. 3
Here is Y2Cd2Hg after structural relaxation from Alexandria via LeMat-Bulk. Energies are from GGA-PBE.

```
5
Lattice="-1.9899 1.9899 8.8000 1.9899 -1.9899 8.8000 1.9899 1.9899 -8.8000" Properties=species:S:1:pos:R:3 pbc="T T T"
Y 0.0000 0.0000 1.7189
Y 0.0000 0.0000 15.8810
Cd 1.9899 0.0000 4.4000
Cd 0.0000 1.9899 4.4000
Hg 0.0000 0.0000 8.8000
```

Results
E_form: -47.7 kJ/mol of formula units
Crystal system: tetragonal
Calculated density: 7.2 Mg/m³